A relaxed structure of Tb2Er3TmAs6, computed with PBE.

Lattice parameters (Å, degrees): 9.1604 9.1604 8.1931 102.89 102.89 25.85
Last column: nearest neighbours and their distance in Å.
Element x y z (fractional)
Tb (0.1662, 0.1662, 0.3327)  6 As 2.91-2.92
Tb (0.8338, 0.8338, 0.6673)  6 As 2.91-2.92
Er (0.1670, 0.1670, 0.8336)  6 As 2.88-2.90
Er (0.5000, 0.5000, 0.5000)  6 As 2.88-2.90
Er (0.8330, 0.8330, 0.1664)  6 As 2.88-2.90
Tm (0.5000, 0.5000, 0.0000)  6 As 2.89
As (0.0011, 0.0011, 0.7516)  3 Er 2.88-2.90, 2 Tm 2.89, 1 Tb 2.91
As (0.3341, 0.3341, 0.4147)  3 Er 2.88, 3 Tb 2.91-2.92
As (0.3338, 0.3338, 0.9195)  3 Er 2.88-2.90, 1 Tm 2.89, 2 Tb 2.91
As (0.6662, 0.6662, 0.0805)  3 Er 2.88-2.90, 1 Tm 2.89, 2 Tb 2.91
As (0.6659, 0.6659, 0.5853)  3 Er 2.88, 3 Tb 2.91-2.92
As (0.9989, 0.9989, 0.2484)  3 Er 2.88-2.90, 2 Tm 2.89, 1 Tb 2.91

## Properties
**Energy of formation**: -1.523 eV per atom
**Calculated volume**: 291.8 Å³ per cell
**Calculated total energy**: -6.13 eV/atom

---

A relaxed structure of Tb3ErTm2As6, computed with PBE.

Lattice parameters (Å, degrees): 7.1097 7.1097 7.1071 99.59 99.59 119.99
Last column: nearest neighbours and their distance in Å.
Element x y z (fractional)
Tb (0.0000, 0.0000, 0.0000)  6 As 2.92
Tb (0.3335, 0.6665, 0.0000)  6 As 2.92
Tb (0.6665, 0.3335, 0.0000)  6 As 2.92
Er (0.5000, 0.5000, 0.5000)  6 As 2.89
Tm (0.1667, 0.8333, 0.5000)  6 As 2.88
Tm (0.8333, 0.1667, 0.5000)  6 As 2.88
As (0.0841, 0.4181, 0.2544)  2 Tm 2.88, 1 Er 2.89, 3 Tb 2.92
As (0.2478, 0.2478, 0.7455)  2 Tm 2.88, 1 Er 2.89, 3 Tb 2.92
As (0.4181, 0.0841, 0.2544)  2 Tm 2.88, 1 Er 2.89, 3 Tb 2.92
As (0.5819, 0.9159, 0.7456)  2 Tm 2.88, 1 Er 2.89, 3 Tb 2.92
As (0.7522, 0.7522, 0.2545)  2 Tm 2.88, 1 Er 2.89, 3 Tb 2.92
As (0.9159, 0.5819, 0.7456)  2 Tm 2.88, 1 Er 2.89, 3 Tb 2.92

## Properties
**Energy of formation**: -1.525 eV per atom
**Calculated volume**: 293.4 Å³ per cell
**Calculated total energy**: -6.13 eV/atom

---

A relaxed structure of TbEr2TmAs4, computed with PBE.

Lattice parameters (Å, degrees): 7.0856 4.0930 7.0861 90.00 109.47 90.00
Last column: nearest neighbours and their distance in Å.
Element x y z (fractional)
Tb (0.0000, 0.0000, 0.0000)  6 As 2.91
Er (0.0000, 0.5000, 0.5000)  6 As 2.90
Er (0.5000, 0.0000, 0.5000)  6 As 2.88
Tm (0.5000, 0.5000, 0.0000)  6 As 2.89
As (0.2521, 0.0000, 0.7496)  3 Er 2.88-2.90, 2 Tm 2.89, 1 Tb 2.91
As (0.2528, 0.5000, 0.2520)  3 Er 2.88-2.90, 1 Tm 2.89, 2 Tb 2.91
As (0.7472, 0.5000, 0.7480)  3 Er 2.88-2.90, 1 Tm 2.89, 2 Tb 2.91
As (0.7479, 0.0000, 0.2504)  3 Er 2.88-2.90, 2 Tm 2.89, 1 Tb 2.91

## Properties
**Energy of formation**: -1.521 eV per atom
**Calculated volume**: 193.8 Å³ per cell
**Calculated total energy**: -6.12 eV/atom

---

A relaxed structure of TbEr2Tm3As6, computed with PBE.

Lattice parameters (Å, degrees): 9.1255 9.1255 8.1619 102.89 102.89 25.85
Last column: nearest neighbours and their distance in Å.
Element x y z (fractional)
Tb (0.0000, 0.0000, 0.0000)  6 As 2.91
Er (0.3330, 0.3330, 0.6664)  6 As 2.89
Er (0.6670, 0.6670, 0.3336)  6 As 2.89
Tm (0.0000, 0.0000, 0.5000)  6 As 2.87-2.88
Tm (0.3336, 0.3336, 0.1671)  6 As 2.87-2.88
Tm (0.6664, 0.6664, 0.8329)  6 As 2.87-2.88
As (0.1664, 0.1664, 0.5839)  3 Tm 2.88, 3 Er 2.89
As (0.1679, 0.1679, 0.0831)  3 Tm 2.87-2.88, 2 Er 2.89, 1 Tb 2.91
As (0.4999, 0.4999, 0.2533)  3 Tm 2.87-2.88, 1 Er 2.89, 2 Tb 2.91
As (0.5001, 0.5001, 0.7467)  3 Tm 2.87-2.88, 1 Er 2.89, 2 Tb 2.91
As (0.8321, 0.8321, 0.9169)  3 Tm 2.87-2.88, 2 Er 2.89, 1 Tb 2.91
As (0.8336, 0.8336, 0.4161)  3 Tm 2.88, 3 Er 2.89

## Properties
**Energy of formation**: -1.515 eV per atom
**Calculated volume**: 288.5 Å³ per cell
**Calculated total energy**: -6.10 eV/atom

---

A relaxed structure of Tb2ErUAs4, computed with PBE.

Lattice parameters (Å, degrees): 7.1112 4.0934 7.1154 90.00 109.18 90.00
Last column: nearest neighbours and their distance in Å.
Element x y z (fractional)
Tb (0.0000, 0.0000, 0.0000)  6 As 2.92-2.94
Tb (0.5000, 0.5000, 0.0000)  6 As 2.91-2.92
Er (0.0000, 0.5000, 0.5000)  6 As 2.88-2.89
U (0.5000, 0.0000, 0.5000)  6 As 2.86-2.89
As (0.2508, 0.0000, 0.7442)  1 U 2.86, 2 Er 2.89, 3 Tb 2.92-2.94
As (0.2519, 0.5000, 0.2544)  1 Er 2.88, 2 U 2.89, 3 Tb 2.91-2.92
As (0.7481, 0.5000, 0.7456)  1 Er 2.88, 2 U 2.89, 3 Tb 2.91-2.92
As (0.7492, 0.0000, 0.2558)  1 U 2.86, 2 Er 2.89, 3 Tb 2.92-2.94

## Properties
**Energy of formation**: -1.329 eV per atom
**Calculated volume**: 195.6 Å³ per cell
**Calculated total energy**: -6.79 eV/atom

---

A relaxed structure of TbEr2UAs4, computed with PBE.

Lattice parameters (Å, degrees): 7.0872 4.0806 7.0906 90.00 109.20 90.00
Last column: nearest neighbours and their distance in Å.
Element x y z (fractional)
Tb (0.0000, 0.0000, 0.0000)  6 As 2.90-2.91
Er (0.5000, 0.0000, 0.5000)  6 As 2.87-2.88
Er (0.5000, 0.5000, 0.0000)  6 As 2.90-2.91
U (0.0000, 0.5000, 0.5000)  6 As 2.87-2.89
As (0.2510, 0.0000, 0.7485)  3 Er 2.87-2.90, 2 U 2.89, 1 Tb 2.90
As (0.2505, 0.5000, 0.2545)  1 U 2.87, 3 Er 2.88-2.91, 2 Tb 2.91
As (0.7490, 0.0000, 0.2515)  3 Er 2.87-2.90, 2 U 2.89, 1 Tb 2.90
As (0.7495, 0.5000, 0.7455)  1 U 2.87, 3 Er 2.88-2.91, 2 Tb 2.91

## Properties
**Energy of formation**: -1.321 eV per atom
**Calculated volume**: 193.7 Å³ per cell
**Calculated total energy**: -6.78 eV/atom

---

A relaxed structure of Tb3YEr2As6, computed with PBE.

Lattice parameters (Å, degrees): 7.1322 7.1322 7.1304 99.59 99.59 119.99
Last column: nearest neighbours and their distance in Å.
Element x y z (fractional)
Tb (0.0000, 0.0000, 0.0000)  6 As 2.91-2.93
Tb (0.3337, 0.6663, 0.0000)  6 As 2.92-2.93
Tb (0.6663, 0.3337, 0.0000)  6 As 2.92-2.93
Y (0.5000, 0.5000, 0.5000)  6 As 2.91
Er (0.1668, 0.8332, 0.5000)  6 As 2.90
Er (0.8332, 0.1668, 0.5000)  6 As 2.90
As (0.0826, 0.4175, 0.2526)  2 Er 2.90, 1 Y 2.91, 3 Tb 2.92-2.93
As (0.2475, 0.2475, 0.7473)  2 Er 2.90, 1 Y 2.91, 3 Tb 2.91-2.92
As (0.4175, 0.0826, 0.2526)  2 Er 2.90, 1 Y 2.91, 3 Tb 2.92-2.93
As (0.5825, 0.9174, 0.7474)  2 Er 2.90, 1 Y 2.91, 3 Tb 2.92-2.93
As (0.7525, 0.7525, 0.2527)  2 Er 2.90, 1 Y 2.91, 3 Tb 2.91-2.92
As (0.9174, 0.5825, 0.7474)  2 Er 2.90, 1 Y 2.91, 3 Tb 2.92-2.93

## Properties
**Energy of formation**: -1.536 eV per atom
**Calculated volume**: 296.2 Å³ per cell
**Calculated total energy**: -6.32 eV/atom

---

A relaxed structure of TbYEr2As4, computed with PBE.

Lattice parameters (Å, degrees): 7.1125 4.1085 7.1130 90.00 109.47 90.00
Last column: nearest neighbours and their distance in Å.
Element x y z (fractional)
Tb (0.0000, 0.0000, 0.0000)  6 As 2.92
Y (0.0000, 0.5000, 0.5000)  6 As 2.92
Er (0.5000, 0.0000, 0.5000)  6 As 2.89
Er (0.5000, 0.5000, 0.0000)  6 As 2.89
As (0.2533, 0.0000, 0.7508)  3 Er 2.89, 2 Y 2.92, 1 Tb 2.92
As (0.2534, 0.5000, 0.2514)  3 Er 2.89, 1 Y 2.92, 2 Tb 2.92
As (0.7467, 0.0000, 0.2492)  3 Er 2.89, 2 Y 2.92, 1 Tb 2.92
As (0.7466, 0.5000, 0.7486)  3 Er 2.89, 1 Y 2.92, 2 Tb 2.92

## Properties
**Energy of formation**: -1.535 eV per atom
**Calculated volume**: 196.0 Å³ per cell
**Calculated total energy**: -6.39 eV/atom

---

A relaxed structure of TbY2ErAs4, computed with PBE.

Lattice parameters (Å, degrees): 7.1300 4.1185 7.1306 90.00 109.46 90.00
Last column: nearest neighbours and their distance in Å.
Element x y z (fractional)
Tb (0.0000, 0.0000, 0.0000)  6 As 2.91
Y (0.0000, 0.5000, 0.5000)  6 As 2.92
Y (0.5000, 0.0000, 0.5000)  6 As 2.91
Er (0.5000, 0.5000, 0.0000)  6 As 2.90
As (0.2514, 0.5000, 0.2494)  1 Er 2.90, 3 Y 2.91-2.92, 2 Tb 2.91
As (0.2522, 0.0000, 0.7518)  2 Er 2.90, 3 Y 2.91-2.92, 1 Tb 2.91
As (0.7478, 0.0000, 0.2482)  2 Er 2.90, 3 Y 2.91-2.92, 1 Tb 2.91
As (0.7486, 0.5000, 0.7506)  1 Er 2.90, 3 Y 2.91-2.92, 2 Tb 2.91

## Properties
**Energy of formation**: -1.544 eV per atom
**Calculated volume**: 197.4 Å³ per cell
**Calculated total energy**: -6.63 eV/atom

---

A relaxed structure of Tb2Y3ErAs6, computed with PBE.

Lattice parameters (Å, degrees): 7.1391 7.1391 7.1391 99.58 99.58 119.99
Last column: nearest neighbours and their distance in Å.
Element x y z (fractional)
Tb (0.1665, 0.8335, 0.0000)  6 As 2.92
Tb (0.8335, 0.1665, 0.0000)  6 As 2.92
Y (0.0000, 0.0000, 0.5000)  6 As 2.91-2.93
Y (0.3329, 0.6671, 0.5000)  6 As 2.91-2.92
Y (0.6671, 0.3329, 0.5000)  6 As 2.91-2.92
Er (0.5000, 0.5000, 0.0000)  6 As 2.90
As (0.0855, 0.4169, 0.7507)  1 Er 2.90, 3 Y 2.91-2.92, 2 Tb 2.92
As (0.2518, 0.2518, 0.2496)  1 Er 2.90, 3 Y 2.91-2.93, 2 Tb 2.92
As (0.4169, 0.0855, 0.7507)  1 Er 2.90, 3 Y 2.91-2.92, 2 Tb 2.92
As (0.5831, 0.9145, 0.2493)  1 Er 2.90, 3 Y 2.91-2.92, 2 Tb 2.92
As (0.7482, 0.7482, 0.7504)  1 Er 2.90, 3 Y 2.91-2.93, 2 Tb 2.92
As (0.9145, 0.5831, 0.2493)  1 Er 2.90, 3 Y 2.91-2.92, 2 Tb 2.92

## Properties
**Energy of formation**: -1.545 eV per atom
**Calculated volume**: 297.2 Å³ per cell
**Calculated total energy**: -6.64 eV/atom

---

A relaxed structure of TbY3Er2As6, computed with PBE.

Lattice parameters (Å, degrees): 7.1229 7.1229 7.1225 99.58 99.58 119.99
Last column: nearest neighbours and their distance in Å.
Element x y z (fractional)
Tb (0.0000, 0.0000, 0.0000)  6 As 2.91
Y (0.1662, 0.8338, 0.5000)  6 As 2.91-2.92
Y (0.5000, 0.5000, 0.5000)  6 As 2.90-2.92
Y (0.8338, 0.1662, 0.5000)  6 As 2.91-2.92
Er (0.3333, 0.6667, 0.0000)  6 As 2.90
Er (0.6667, 0.3333, 0.0000)  6 As 2.90
As (0.0827, 0.4180, 0.2483)  2 Er 2.90, 3 Y 2.91-2.92, 1 Tb 2.91
As (0.2526, 0.2526, 0.7519)  2 Er 2.90, 3 Y 2.90-2.92, 1 Tb 2.91
As (0.4180, 0.0827, 0.2483)  2 Er 2.90, 3 Y 2.91-2.92, 1 Tb 2.91
As (0.5820, 0.9173, 0.7517)  2 Er 2.90, 3 Y 2.91-2.92, 1 Tb 2.91
As (0.7474, 0.7474, 0.2481)  2 Er 2.90, 3 Y 2.90-2.92, 1 Tb 2.91
As (0.9173, 0.5820, 0.7517)  2 Er 2.90, 3 Y 2.91-2.92, 1 Tb 2.91

## Properties
**Energy of formation**: -1.541 eV per atom
**Calculated volume**: 295.1 Å³ per cell
**Calculated total energy**: -6.63 eV/atom

---

A relaxed structure of TbEr2ZrAs4, computed with PBE.

Lattice parameters (Å, degrees): 6.9823 4.0305 6.9864 90.00 109.29 90.00
Last column: nearest neighbours and their distance in Å.
Element x y z (fractional)
Tb (0.0000, 0.0000, 0.0000)  6 As 2.86-2.87
Er (0.5000, 0.0000, 0.5000)  6 As 2.83-2.84
Er (0.5000, 0.5000, 0.0000)  6 As 2.90
Zr (0.0000, 0.5000, 0.5000)  6 As 2.80-2.81
As (0.2432, 0.0000, 0.7408)  2 Zr 2.81, 3 Er 2.83-2.90, 1 Tb 2.86
As (0.2482, 0.5000, 0.2569)  1 Zr 2.80, 3 Er 2.84-2.90, 2 Tb 2.87
As (0.7518, 0.5000, 0.7431)  1 Zr 2.80, 3 Er 2.84-2.90, 2 Tb 2.87
As (0.7568, 0.0000, 0.2592)  2 Zr 2.81, 3 Er 2.83-2.90, 1 Tb 2.86

## Properties
**Energy of formation**: -1.421 eV per atom
**Calculated volume**: 185.6 Å³ per cell
**Calculated total energy**: -6.53 eV/atom

---

What is the calculated volume in the twelfth record?
185.6 Å³ per cell

---

calculated volume of number 5 (Tb2ErUAs4)?
195.6 Å³ per cell

---

energy of formation of number 10 (Tb2Y3ErAs6)?
-1.545 eV per atom